Entry from Alexandria: a geometry-optimized K2Ca2MoO6 structure (PBE with a Hubbard U).

The structure in POSCAR format:
```
K2Ca2MoO6
1.0
2.933 -4.942 0.000
2.933 4.942 0.000
-1.927 0.000 6.260
K Ca Mo O
2 2 1 6
direct
0.169 0.831 0.000
0.831 0.169 0.000
0.336 0.664 0.500
0.664 0.336 0.500
0.000 0.000 0.500
0.053 0.342 0.674
0.220 0.220 0.323
0.342 0.053 0.674
0.658 0.947 0.326
0.780 0.780 0.677
0.947 0.658 0.326
```

## Properties
The electronic total energy is -67.23 eV per formula unit. The density of states at the Fermi level is 0.0 states/eV/cell. The space group is C2/m, No. 12.